Material: Ce2PbC2
Method: DFT, PBE
State: optimized geometry

Unit cell a=4.006 b=6.552 c=8.569 alpha=100.85 beta=103.52 gamma=90.00
Fractional coordinates of all 10 atoms:
C: 0.097 0.028 0.451
Ce: 0.518 0.852 0.679
Pb: 0.149 0.750 0.000
Ce: 0.161 0.352 0.679
C: 0.647 0.472 0.549
Ce: 0.482 0.148 0.321
Pb: 0.851 0.250 0.000
C: 0.903 0.972 0.549
Ce: 0.839 0.648 0.321
C: 0.353 0.528 0.451

The total energy comes out at -71.50 eV for the cell shown. Its space-group type is C2/c, No. 15.